PBE Pm5SiPb2, optimized geometry; uncorrected formation energy = -307 meV/atom; Fermi-level density of states = 0.96 states/eV per atom; spin magnetization = 0.00 μB per cell; space group = Cmcm (63); DFT total energy = -4.8811 eV per atom
1.0
-5.4162 1.1207 2.2526
4.3944 -1.4995 3.3954
4.1448 16.3236 1.8447
Pm Si Pb
10 2 4
direct
0.9153 0.8305 0.8936 Pm
0.9153 0.8305 0.6064 Pm
0.4153 0.8305 0.3937 Pm
0.4153 0.8305 0.1063 Pm
0.7497 0.4993 0.2500 Pm
0.2503 0.5007 0.7500 Pm
0.5847 0.1695 0.6063 Pm
0.5847 0.1695 0.8937 Pm
0.0847 0.1695 0.1064 Pm
0.0847 0.1695 0.3936 Pm
0.7498 0.4995 0.7500 Si
0.2502 0.5005 0.2500 Si
0.7502 0.5004 0.4357 Pb
0.7502 0.5004 0.0643 Pb
0.2498 0.4996 0.5643 Pb
0.2498 0.4996 0.9357 Pb

=====

PBE Pm8Si2Pb, optimized geometry; uncorrected formation energy = -309 meV/atom; Fermi-level density of states = 1.21 states/eV per atom; spin magnetization = 0.00 μB per cell; space group = C2/m (12); DFT total energy = -5.0871 eV per atom
1.0
-3.0706 4.6722 1.0550
1.8963 -1.9351 7.7107
6.0695 3.4992 -4.2087
Pm Si Pb
8 2 1
direct
0.9178 0.9274 0.6801 Pm
0.9178 0.6801 0.9274 Pm
0.2941 0.5948 0.5948 Pm
0.5000 0.7541 0.2459 Pm
0.5000 0.2459 0.7541 Pm
0.7059 0.4052 0.4052 Pm
0.0822 0.3199 0.0726 Pm
0.0822 0.0726 0.3199 Pm
0.0000 0.3084 0.6916 Si
0.0000 0.6916 0.3084 Si
0.5000 0.0000 0.0000 Pb

=====

PBE Pm5Si4Pb, optimized geometry; uncorrected formation energy = -465 meV/atom; Fermi-level density of states = 0.75 states/eV per atom; spin magnetization = 0.00 μB per cell; space group = P4/mmm (123); DFT total energy = -5.3806 eV per atom
1.0
3.4084 0.0000 0.0000
0.0000 3.4084 0.0000
0.0000 0.0000 21.0907
Pm Si Pb
5 4 1
direct
0.5000 0.5000 0.1193 Pm
0.5000 0.5000 0.3072 Pm
0.5000 0.5000 0.5000 Pm
0.5000 0.5000 0.6928 Pm
0.5000 0.5000 0.8807 Pm
0.0000 0.0000 0.2105 Si
0.0000 0.0000 0.4037 Si
0.0000 0.0000 0.5963 Si
0.0000 0.0000 0.7895 Si
0.0000 0.0000 0.0000 Pb

=====

PBE Pm5Si2Pb, optimized geometry; uncorrected formation energy = -600 meV/atom; Fermi-level density of states = 1.13 states/eV per atom; spin magnetization = 1.49 μB per cell; space group = I4/mcm (140); DFT total energy = -5.3889 eV per atom
1.0
-3.2823 -6.7888 -2.3148
0.0480 -2.5665 7.4586
-4.9763 7.5178 -1.5522
Pm Si Pb
10 4 2
direct
0.5334 0.6912 0.7245 Pm
0.8088 0.9666 0.2755 Pm
0.0000 0.0000 0.0000 Pm
0.5000 0.5000 0.0000 Pm
0.1912 0.0334 0.7245 Pm
0.6912 0.1912 0.7245 Pm
0.0334 0.5334 0.7245 Pm
0.3088 0.8088 0.2755 Pm
0.9666 0.4666 0.2755 Pm
0.4666 0.3088 0.2755 Pm
0.1228 0.3772 0.0000 Si
0.6228 0.1228 0.0000 Si
0.3772 0.8772 0.0000 Si
0.8772 0.6228 0.0000 Si
0.7500 0.7500 0.5000 Pb
0.2500 0.2500 0.5000 Pb

=====

PBE Pm7Si2Pb2, optimized geometry; uncorrected formation energy = -322 meV/atom; Fermi-level density of states = 1.23 states/eV per atom; spin magnetization = 0.00 μB per cell; space group = Cmmm (65); DFT total energy = -5.0057 eV per atom
1.0
7.0961 -0.0030 -0.7201
0.0029 7.0923 0.0033
-1.1608 -0.0024 7.0375
Pm Si Pb
7 2 2
direct
0.9998 0.2664 0.5003 Pm
0.5003 0.7336 0.9998 Pm
0.0002 0.7336 0.4997 Pm
0.4997 0.2664 0.0002 Pm
0.0000 0.0000 0.0000 Pm
0.5002 0.7618 0.4998 Pm
0.4998 0.2382 0.5002 Pm
0.7280 0.0000 0.2720 Si
0.2720 0.0000 0.7280 Si
0.8179 0.5000 0.8179 Pb
0.1821 0.5000 0.1821 Pb

=====

PBE Pm12Si5Pb2, optimized geometry; uncorrected formation energy = -322 meV/atom; Fermi-level density of states = 0.95 states/eV per atom; spin magnetization = 0.00 μB per cell; space group = C2/m (12); DFT total energy = -5.1403 eV per atom
1.0
-3.1756 -2.0831 6.0146
5.4467 -6.6502 -3.6339
6.2364 5.5078 5.2003
Pm Si Pb
12 5 2
direct
0.9087 0.8174 0.2059 Pm
0.0758 0.6304 0.8972 Pm
0.5546 0.6304 0.8972 Pm
0.1114 0.7062 0.4565 Pm
0.5948 0.7062 0.4565 Pm
0.4934 0.9868 0.7332 Pm
0.5066 0.0132 0.2668 Pm
0.8886 0.2938 0.5435 Pm
0.4052 0.2938 0.5435 Pm
0.9242 0.3696 0.1028 Pm
0.4454 0.3696 0.1028 Pm
0.0913 0.1826 0.7941 Pm
0.2901 0.5802 0.6499 Si
0.3305 0.6610 0.1873 Si
0.0000 0.0000 0.5000 Si
0.6695 0.3390 0.8127 Si
0.7099 0.4198 0.3501 Si
0.7751 0.0000 0.0000 Pb
0.2249 0.0000 0.0000 Pb